No. 1
Compound: Ta11Pt9Rh4
Source: Alexandria via LeMat-Bulk
Functional: PBE
Structure: optimized geometry

Output
Formation energy (kJ/mol of formula units): -1321
Magnetization (μB/f.u.): 0.000
Calculated total energy (eV/atom): -9.493

a = 2.879 Å, b = 12.260 Å, c = 12.260 Å
α = 114.02°, β = 90.00°, γ = 90.00°
Element x y z (fractional)
Ta1 0.000 0.603 0.959
Ta2 0.000 0.397 0.041
Ta3 0.000 0.959 0.603
Ta4 0.000 0.041 0.397
Ta5 0.000 0.630 0.370
Ta6 0.000 0.370 0.630
Ta7 0.000 0.832 0.168
Ta8 0.000 0.168 0.832
Ta9 0.000 0.000 0.000
Ta10 0.000 0.713 0.713
Ta11 0.000 0.287 0.287
Pt1 0.500 0.625 0.162
Pt2 0.500 0.375 0.838
Pt3 0.500 0.162 0.625
Pt4 0.500 0.838 0.375
Pt5 0.500 0.790 0.936
Pt6 0.500 0.210 0.064
Pt7 0.500 0.936 0.790
Pt8 0.500 0.064 0.210
Pt9 0.500 0.500 0.500
Rh1 0.500 0.557 0.755
Rh2 0.500 0.443 0.245
Rh3 0.500 0.755 0.557
Rh4 0.500 0.245 0.443

---

No. 2
Compound: Ca2Zn2CdCu5
Source: Alexandria via LeMat-Bulk
Functional: PBE
Structure: optimized geometry

Output
Formation energy (kJ/mol of formula units): -51
Magnetization (μB/f.u.): 0.000
Calculated total energy (eV/atom): -2.848

a = 3.779 Å, b = 9.625 Å, c = 9.625 Å
α = 90.00°, β = 90.00°, γ = 90.00°
Element x y z (fractional)
Ca1 0.000 0.681 0.181
Ca2 0.000 0.319 0.819
Ca3 0.000 0.181 0.319
Ca4 0.000 0.819 0.681
Zn1 0.000 0.115 0.615
Zn2 0.000 0.885 0.385
Zn3 0.000 0.615 0.885
Zn4 0.000 0.385 0.115
Cd1 0.000 0.000 0.000
Cd2 0.000 0.500 0.500
Cu1 0.500 0.212 0.056
Cu2 0.500 0.788 0.944
Cu3 0.500 0.056 0.788
Cu4 0.500 0.712 0.444
Cu5 0.500 0.944 0.212
Cu6 0.500 0.288 0.556
Cu7 0.500 0.556 0.712
Cu8 0.500 0.444 0.288
Cu9 0.500 0.500 0.000
Cu10 0.500 0.000 0.500

---

No. 3
Compound: Tb2TcC2
Source: Alexandria via LeMat-Bulk
Functional: PBE
Structure: optimized geometry

Output
Formation energy (kJ/mol of formula units): -182
Magnetization (μB/f.u.): 0.000
Energy above the lowest structure with this stoichiometry (meV/atom): 0
Calculated total energy (eV/atom): -7.992

a = 5.142 Å, b = 6.586 Å, c = 9.932 Å
α = 90.00°, β = 90.00°, γ = 90.00°
Element x y z (fractional)
Tb1 0.750 0.679 0.556
Tb2 0.250 0.821 0.056
Tb3 0.250 0.321 0.444
Tb4 0.750 0.179 0.944
Tb5 0.750 0.031 0.285
Tb6 0.250 0.469 0.785
Tb7 0.250 0.969 0.715
Tb8 0.750 0.531 0.215
Tc1 0.750 0.220 0.636
Tc2 0.250 0.280 0.136
Tc3 0.250 0.780 0.364
Tc4 0.750 0.720 0.864
C1 0.750 0.453 0.758
C2 0.250 0.047 0.258
C3 0.250 0.547 0.242
C4 0.750 0.953 0.742
C5 0.750 0.819 0.046
C6 0.250 0.681 0.546
C7 0.250 0.181 0.954
C8 0.750 0.319 0.454

---

No. 4
Compound: NaEr4BiS8
Source: Alexandria via LeMat-Bulk
Functional: PBE
Structure: optimized geometry

Output
ΔE_f (raw) (meV per atom): -1659
Magnetization (μB/f.u.): 0.000
Calculated total energy (eV/atom): -5.693

a = 8.047 Å, b = 8.047 Å, c = 8.142 Å
α = 60.38°, β = 60.38°, γ = 60.00°
Element x y z (fractional)
Na1 0.370 0.370 0.890
Er1 0.626 0.626 0.123
Er2 0.004 0.491 0.501
Er3 0.491 0.004 0.501
Er4 0.004 0.004 0.501
Bi1 0.010 0.010 0.971
S1 0.245 0.781 0.730
S2 0.781 0.245 0.730
S3 0.245 0.245 0.730
S4 0.237 0.237 0.290
S5 0.750 0.231 0.270
S6 0.231 0.750 0.270
S7 0.750 0.750 0.270
S8 0.758 0.758 0.726

---

No. 5
Compound: LiYTe2
Source: Alexandria via LeMat-Bulk
Functional: PBE
Structure: optimized geometry

Output
ΔE_f (raw) (meV per atom): -1004
Magnetization (μB/f.u.): 0.000
Calculated total energy (eV/atom): -4.669

a = 3.788 Å, b = 3.788 Å, c = 7.685 Å
α = 90.00°, β = 90.00°, γ = 90.00°
Element x y z (fractional)
Li1 0.500 0.500 0.750
Te1 0.000 0.000 0.010
Te2 0.000 0.000 0.490
Y1 0.500 0.500 0.250

---

No. 6
Compound: Er3Co8Cu
Source: Alexandria via LeMat-Bulk
Functional: PBE
Structure: optimized geometry

Output
Formation energy (kJ/mol of formula units): -185
Magnetization (μB/f.u.): 9.315
Calculated total energy (eV/atom): -6.379

a = 4.962 Å, b = 4.962 Å, c = 8.583 Å
α = 73.20°, β = 73.20°, γ = 60.00°
Site moments in Bohr magnetons follow the coordinates.
Element x y z (fractional)
Er1 0.376 0.376 0.871  -0.44
Er2 0.992 0.992 0.024  -0.38
Er3 0.506 0.506 0.483  -0.37
Co1 0.936 0.437 0.190  1.29
Co2 0.442 0.939 0.681  1.34
Co3 0.437 0.437 0.190  1.29
Co4 0.939 0.939 0.681  1.34
Co5 0.189 0.189 0.434  1.44
Co6 0.688 0.688 0.937  1.25
Co7 0.437 0.936 0.190  1.29
Co8 0.939 0.442 0.681  1.34
Cu1 0.871 0.871 0.387  0.02